## Th4TlGe (PBE)

Data for a relaxed Th4TlGe crystal.

The mass density is 11.30 g/cm3. The calculation puts the calculated total energy at -6.434 eV/atom. For the density of states at the Fermi level, the calculation gives 11.57 states/eV per cell. The calculation puts the formation energy from the elements at -323 meV/atom.

The space group is P4/mcc (No. 124) and the conventional cell measures 7.5883, 7.5883 and 6.1496 Å, with angles of 90.00, 90.00 and 90.00 degrees. Symmetry generates all atoms from Th at (0.1475, 0.3330, 0.0000), Tl at (0.5000, 0.5000, 0.2500) and Ge at (0.0000, 0.0000, 0.2500).